Material: Pm6Dy2TmTh
Method: DFT, PBE
State: optimized geometry

Lattice parameters (Å, degrees): 8.8503 8.8503 9.6342 93.72 93.72 116.37
Last column: nearest neighbours and their distance in Å.
Element x y z (fractional)
Pm: 0.0080 0.5726 0.1889  1 Pm 3.30, 1 Tm 3.43, 1 Dy 3.45, 1 Th 3.46
Pm: 0.1136 0.7617 0.5575  7 Pm 3.46-3.79, 2 Dy 3.51-3.86, 2 Th 3.61-3.80
Pm: 0.2383 0.8864 0.9425  7 Pm 3.46-3.79, 2 Dy 3.51-3.86, 2 Th 3.61-3.80
Pm: 0.2950 0.5150 0.3828  4 Pm 3.29-3.63, 3 Dy 3.29-3.48, 2 Tm 3.43-3.55
Pm: 0.4274 0.9920 0.3111  1 Pm 3.30, 1 Tm 3.43, 1 Dy 3.45, 1 Th 3.46
Pm: 0.4850 0.7050 0.1172  4 Pm 3.29-3.63, 3 Dy 3.29-3.48, 2 Tm 3.43-3.55
Pm: 0.5150 0.2950 0.8828  4 Pm 3.29-3.63, 3 Dy 3.29-3.48, 2 Tm 3.43-3.55
Pm: 0.5726 0.0080 0.6889  1 Pm 3.30, 1 Tm 3.43, 1 Dy 3.45, 1 Th 3.46
Pm: 0.7050 0.4850 0.6172  4 Pm 3.29-3.63, 3 Dy 3.29-3.48, 2 Tm 3.43-3.55
Pm: 0.7617 0.1136 0.0575  7 Pm 3.46-3.79, 2 Dy 3.51-3.86, 2 Th 3.61-3.80
Pm: 0.8864 0.2383 0.4425  7 Pm 3.46-3.79, 2 Dy 3.51-3.86, 2 Th 3.61-3.80
Pm: 0.9920 0.4274 0.8111  1 Pm 3.30, 1 Tm 3.43, 1 Dy 3.45, 1 Th 3.46
Dy: 0.2026 0.2957 0.0506  5 Pm 3.29-3.51, 2 Th 3.39-3.49, 1 Tm 3.50
Dy: 0.2957 0.2026 0.5506  5 Pm 3.29-3.51, 2 Th 3.39-3.49, 1 Tm 3.50
Dy: 0.7043 0.7974 0.4494  5 Pm 3.29-3.51, 2 Th 3.39-3.49, 1 Tm 3.50
Dy: 0.7974 0.7043 0.9494  5 Pm 3.29-3.51, 2 Th 3.39-3.49, 1 Tm 3.50
Tm: 0.4102 0.5898 0.7500  6 Pm 3.43-3.55, 2 Dy 3.50
Tm: 0.5898 0.4102 0.2500  6 Pm 3.43-3.55, 2 Dy 3.50
Th: 0.0288 0.9712 0.2500  4 Dy 3.39-3.49, 4 Pm 3.46-3.61
Th: 0.9712 0.0288 0.7500  4 Dy 3.39-3.49, 4 Pm 3.46-3.61

## Properties
crystal system	monoclinic
density	7.90	Mg/m³
E_form	0.146	eV/atom

***

Material: PrHo14Th
Method: DFT, PBE
State: optimized geometry

Lattice parameters (Å, degrees): 11.4673 7.1063 7.1063 60.22 90.00 90.00
Last column: nearest neighbours and their distance in Å.
Element x y z (fractional)
Pr: 0.0000 0.0000 0.0000  10 Ho 3.55-3.56, 2 Th 3.57
Ho: 0.0000 0.4997 0.9994  8 Ho 3.54-3.57, 2 Th 3.54-3.57, 2 Pr 3.55-3.56
Ho: 0.0000 0.9994 0.4997  8 Ho 3.54-3.57, 2 Th 3.54-3.57, 2 Pr 3.55-3.56
Ho: 0.2502 0.6642 0.6642  11 Ho 3.52-3.59, 1 Th 3.52
Ho: 0.2533 0.1668 0.1668  11 Ho 3.49-3.57, 1 Pr 3.56
Ho: 0.2529 0.1692 0.6641  10 Ho 3.50-3.60, 1 Th 3.54, 1 Pr 3.56
Ho: 0.2529 0.6641 0.1692  10 Ho 3.50-3.60, 1 Th 3.54, 1 Pr 3.56
Ho: 0.5000 0.3325 0.3325  12 Ho 3.49-3.56
Ho: 0.5000 0.3327 0.8335  12 Ho 3.50-3.57
Ho: 0.5000 0.8324 0.8324  12 Ho 3.51-3.56
Ho: 0.5000 0.8335 0.3327  12 Ho 3.50-3.57
Ho: 0.7467 0.1668 0.1668  11 Ho 3.49-3.57, 1 Pr 3.56
Ho: 0.7471 0.1692 0.6641  10 Ho 3.50-3.60, 1 Th 3.54, 1 Pr 3.56
Ho: 0.7471 0.6641 0.1692  10 Ho 3.50-3.60, 1 Th 3.54, 1 Pr 3.56
Ho: 0.7498 0.6642 0.6642  11 Ho 3.52-3.59, 1 Th 3.52
Th: 0.0000 0.4981 0.4981  10 Ho 3.52-3.57, 2 Pr 3.57

## Properties
crystal system	orthorhombic
density	8.86	Mg/m³
E_form	0.018	eV/atom

***

Material: ScCo2Si
Method: DFT, PBE
State: optimized geometry

Lattice parameters (Å, degrees): 8.1515 8.1515 8.1515 20.30 20.30 20.30
Last column: nearest neighbours and their distance in Å.
Element x y z (fractional)
Sc: 0.0000 0.0000 0.0000  3 Co 2.66, 6 Sc 2.87, 3 Si 2.91
Co: 0.4980 0.4980 0.4980  3 Si 2.33, 3 Co 2.49
Co: 0.7536 0.7536 0.7536  3 Co 2.49, 3 Sc 2.66
Si: 0.2332 0.2332 0.2332  3 Co 2.33

## Properties
crystal system	trigonal
density	5.56	Mg/m³
raw formation energy	0.0969	eV per atom

***

Material: K2PtO6
Method: DFT, PBE
State: optimized geometry

Lattice parameters (Å, degrees): 5.0702 5.7188 6.8323 79.13 74.21 89.69
Last column: nearest neighbours and their distance in Å.
Element x y z (fractional)
K: 0.2173 0.2253 0.0918  5 O 2.73-2.89
K: 0.7827 0.7747 0.9082  5 O 2.73-2.89
Pt: 0.0000 0.5000 0.5000  2 O 1.88
O: 0.1060 0.7565 0.2743  1 O 1.41
O: 0.2247 0.7260 0.0693  1 O 1.41
O: 0.4740 0.9118 0.5729  1 O 1.25
O: 0.5260 0.0882 0.4271  1 O 1.25
O: 0.7753 0.2740 0.9307  1 O 1.41
O: 0.8940 0.2435 0.7257  1 O 1.41

## Properties
crystal system	triclinic
density	3.28	Mg/m³
raw formation energy	-0.4817	eV per atom